Material: Y2Bi2As
Method: DFT, PBE
State: optimized geometry

Unit cell a=7.7936 b=7.7936 c=4.7259 alpha=90.00 beta=90.00 gamma=90.00
With the nearest neighbours (Å) after each atom.
Sites, in units of the cell vectors:
Bi (0.8589, 0.3589, 0.5000)  1 Bi 3.11, 6 Y 3.14-3.40
Bi (0.1411, 0.6411, 0.5000)  1 Bi 3.11, 6 Y 3.14-3.40
Bi (0.6411, 0.8589, 0.5000)  1 Bi 3.11, 6 Y 3.14-3.40
Bi (0.3589, 0.1411, 0.5000)  1 Bi 3.11, 6 Y 3.14-3.40
Y (0.8289, 0.6711, 0.0000)  2 As 2.89, 2 Bi 3.14
Y (0.1711, 0.3289, 0.0000)  2 As 2.89, 2 Bi 3.14
Y (0.6711, 0.1711, 0.0000)  2 As 2.89, 2 Bi 3.14
Y (0.3289, 0.8289, 0.0000)  2 As 2.89, 2 Bi 3.14
As (0.0000, 0.0000, 0.0000)  4 Y 2.89
As (0.5000, 0.5000, 0.0000)  4 Y 2.89

Summary:
crystal system = tetragonal
offset from the most stable computed form = 0 meV per atom
symmetry = P4/mbm (127)